Record 1
Crystalline AlTcP at its relaxed geometry, computed with PBE.

Cell lengths 4.080, 4.080, 4.080 Å; angles 60.00, 60.00, 60.00 degrees
Fractional coordinates of all 3 atoms:
P 0.500 0.500 0.500
Tc 0.750 0.750 0.750
Al 0.000 0.000 0.000

Output
V ... 48.0 Å³/cell
Formation enthalpy at 0 K ... 0.03 eV/atom
Symmetry ... F-43m
DOS at the Fermi energy ... 2.197 states/eV/cell
Theoretical density ... 5.4 Mg/m³
Distance to the lowest polymorph of the same formula ... 0.5425 eV per atom


Record 2
Crystalline Zn3BiO3 at its relaxed geometry, computed with PBE.

Cell lengths 5.861, 5.861, 5.861 Å; angles 90.00, 90.00, 90.00 degrees
Fractional coordinates of all 14 atoms:
Zn 0.250 0.000 0.500
Zn 0.750 0.000 0.500
Zn 0.000 0.500 0.250
Zn 0.000 0.500 0.750
Zn 0.500 0.250 0.000
Zn 0.500 0.750 0.000
Bi 0.000 0.000 0.000
Bi 0.500 0.500 0.500
O 0.250 0.500 0.000
O 0.750 0.500 0.000
O 0.500 0.000 0.250
O 0.500 0.000 0.750
O 0.000 0.250 0.500
O 0.000 0.750 0.500

Output
V ... 201.4 Å³/cell
Formation energy without anion corrections ... -523 kJ/mol of formula units
Symmetry ... Pm-3n
DOS at the Fermi energy ... 7.152 states/eV/cell
Theoretical density ... 7.5 Mg/m³


Record 3
Crystalline PrYSn at its relaxed geometry, computed with PBE.

Cell lengths 4.654, 4.654, 8.678 Å; angles 90.00, 90.00, 90.00 degrees
Fractional coordinates of all 6 atoms:
Pr 0.000 0.500 0.850
Pr 0.500 0.000 0.150
Y 0.500 0.500 0.500
Y 0.000 0.000 0.500
Sn 0.000 0.500 0.233
Sn 0.500 0.000 0.767

Output
V ... 188.0 Å³/cell
Formation enthalpy at 0 K ... -0.60 eV/atom
Symmetry ... P4/nmm
DOS at the Fermi energy ... 9.692 states/eV/cell
Theoretical density ... 6.2 Mg/m³
Distance to the lowest polymorph of the same formula ... 0.0000 eV per atom


Record 4
Crystalline TaNiAgHg2 at its relaxed geometry, computed with PBE.

Cell lengths 4.882, 4.577, 4.882 Å; angles 90.00, 90.00, 90.00 degrees
Fractional coordinates of all 5 atoms:
Ni 0.000 0.000 0.000
Hg 0.000 0.000 0.500
Hg 0.500 0.000 0.000
Ag 0.500 0.500 0.500
Ta 0.000 0.500 0.000

Output
V ... 109.1 Å³/cell
Formation enthalpy at 0 K ... 0.74 eV/atom
Symmetry ... P4/mmm
DOS at the Fermi energy ... 3.673 states/eV/cell
Theoretical density ... 11.4 Mg/m³


Record 5
Crystalline Pm12Co5Bi3 at its relaxed geometry, computed with PBE.

Cell lengths 14.811, 14.811, 14.811 Å; angles 109.47, 109.47, 109.47 degrees
Fractional coordinates of all 80 atoms:
Bi 0.750 0.375 0.125
Bi 0.875 0.750 0.125
Bi 0.375 0.750 0.625
Bi 0.250 0.125 0.375
Bi 0.875 0.125 0.250
Bi 0.375 0.625 0.250
Bi 0.625 0.375 0.750
Bi 0.125 0.875 0.750
Bi 0.750 0.875 0.625
Bi 0.625 0.250 0.375
Bi 0.125 0.250 0.875
Bi 0.250 0.625 0.875
Co 0.125 0.375 0.250
Co 0.000 0.500 0.000
Co 0.000 0.000 0.000
Co 0.375 0.250 0.125
Co 0.500 0.000 0.500
Co 0.500 0.500 0.000
Co 0.125 0.750 0.375
Co 0.750 0.125 0.875
Co 0.750 0.625 0.375
Co 0.375 0.125 0.750
Co 0.625 0.875 0.250
Co 0.500 0.500 0.500
Co 0.500 0.000 0.000
Co 0.000 0.000 0.500
Co 0.250 0.375 0.625
Co 0.250 0.875 0.125
Co 0.000 0.500 0.500
Co 0.875 0.250 0.625
Co 0.625 0.750 0.875
Co 0.875 0.625 0.750
Pm 0.699 0.115 0.021
Pm 0.322 0.521 0.407
Pm 0.979 0.385 0.301
Pm 0.521 0.199 0.115
Pm 0.584 0.699 0.678
Pm 0.979 0.593 0.178
Pm 0.322 0.801 0.416
Pm 0.093 0.916 0.115
Pm 0.593 0.979 0.678
Pm 0.699 0.584 0.178
Pm 0.801 0.479 0.385
Pm 0.822 0.907 0.021
Pm 0.115 0.699 0.521
Pm 0.385 0.407 0.084
Pm 0.084 0.907 0.385
Pm 0.416 0.115 0.593
Pm 0.084 0.178 0.199
Pm 0.479 0.678 0.093
Pm 0.822 0.916 0.301
Pm 0.115 0.416 0.093
Pm 0.385 0.979 0.801
Pm 0.593 0.615 0.416
Pm 0.907 0.822 0.521
Pm 0.801 0.322 0.916
Pm 0.407 0.385 0.584
Pm 0.093 0.178 0.479
Pm 0.199 0.678 0.084
Pm 0.178 0.084 0.699
Pm 0.615 0.021 0.199
Pm 0.885 0.584 0.907
Pm 0.521 0.322 0.907
Pm 0.584 0.885 0.407
Pm 0.916 0.822 0.801
Pm 0.916 0.093 0.615
Pm 0.885 0.301 0.479
Pm 0.178 0.093 0.979
Pm 0.615 0.593 0.916
Pm 0.407 0.021 0.322
Pm 0.301 0.416 0.822
Pm 0.199 0.521 0.615
Pm 0.907 0.084 0.885
Pm 0.678 0.199 0.584
Pm 0.479 0.801 0.885
Pm 0.021 0.407 0.822
Pm 0.416 0.301 0.322
Pm 0.021 0.615 0.699
Pm 0.678 0.479 0.593
Pm 0.301 0.885 0.979

Output
V ... 2501.3 Å³/cell
Formation enthalpy at 0 K ... -0.07 eV/atom
Symmetry ... Ia-3d
DOS at the Fermi energy ... 77.877 states/eV/cell
Theoretical density ... 7.1 Mg/m³


Record 6
Crystalline Ce4Pb2C at its relaxed geometry, computed with PBE.

Cell lengths 4.852, 5.048, 7.976 Å; angles 108.45, 90.00, 90.00 degrees
Fractional coordinates of all 7 atoms:
Pb 0.500 0.345 0.690
Pb 0.500 0.655 0.310
C 0.000 0.000 0.000
Ce 0.000 0.500 0.000
Ce 0.500 0.000 0.000
Ce 0.000 0.168 0.335
Ce 0.000 0.832 0.665

Output
V ... 185.3 Å³/cell
Formation enthalpy at 0 K ... -0.37 eV/atom
Symmetry ... Cmmm
DOS at the Fermi energy ... 16.472 states/eV/cell
Theoretical density ... 8.8 Mg/m³
Distance to the lowest polymorph of the same formula ... 0.0000 eV per atom


Record 7
Crystalline Co4Re at its relaxed geometry, computed with PBE.

Cell lengths 4.389, 4.389, 4.389 Å; angles 90.00, 90.00, 90.00 degrees
Fractional coordinates of all 5 atoms:
Re 0.500 0.500 0.500
Co 0.000 0.000 0.000
Co 0.500 0.000 0.500
Co 0.000 0.500 0.500
Co 0.500 0.500 0.000

Output
V ... 84.6 Å³/cell
Formation enthalpy at 0 K ... 1.74 eV/atom
Symmetry ... Pm-3m
DOS at the Fermi energy ... 8.562 states/eV/cell
Theoretical density ... 8.3 Mg/m³
Distance to the lowest polymorph of the same formula ... 1.6953 eV per atom